Density functional theory data (PBE) for an optimized crystal structure of NiOs2Pt.

Cell lengths 8.923, 2.704, 4.691 Å; angles 90.00, 100.14, 90.00 degrees
Space group C2/m (No. 12)
Symmetry-distinct sites (fractional):
Ni  0.000  0.000  0.000 x2
Os  0.248  0.500  0.239 x4
Pt  0.000  0.500  0.500 x2

- Volume: 111.4 Å³ per cell
- Energy relative to the elements: 0.157 eV/atom

=====

Density functional theory data (PBE) for an optimized crystal structure of NiOs2Pt.

Cell lengths 2.735, 4.346, 9.521 Å; angles 90.00, 90.00, 90.00 degrees
Space group Immm (No. 71)
Symmetry-distinct sites (fractional):
Ni  0.000  0.000  0.000 x2
Os  0.000  0.500  0.283 x4
Pt  0.000  0.000  0.500 x2

- Volume: 113.2 Å³ per cell
- Energy relative to the elements: 0.285 eV/atom

=====

Density functional theory data (PBE) for an optimized crystal structure of NiOs2Pt.

Cell lengths 5.322, 7.814, 2.689 Å; angles 90.00, 90.00, 90.00 degrees
Space group Cmmm (No. 65)
Symmetry-distinct sites (fractional):
Ni  0.000  0.000  0.000 x2
Os  0.250  0.250  0.500 x4
Pt  0.000  0.500  0.000 x2

- Volume: 111.8 Å³ per cell
- Energy relative to the elements: 0.269 eV/atom

=====

Density functional theory data (PBE) for an optimized crystal structure of Ni2OsPt4.

Cell lengths 7.517, 7.517, 7.528 Å; angles 90.00, 90.00, 90.00 degrees
Space group I-42d (No. 122)
Symmetry-distinct sites (fractional):
Ni  0.127  0.250  0.125 x8
Os  0.000  0.000  0.500 x4
Pt  0.083  0.167  0.795 x16

- Volume: 425.4 Å³ per cell
- Energy relative to the elements: 0.323 eV/atom

=====

Density functional theory data (PBE) for an optimized crystal structure of Ni2OsPt.

Cell lengths 2.6947, 2.6947, 25.1529 Å; angles 90.00, 90.00, 120.00 degrees
Space group R3m (No. 160, hexagonal axes)
Symmetry-distinct sites (fractional):
Ni  0.0000  0.0000  0.0000 x3
Ni  0.0000  0.0000  0.1597 x3
Os  0.0000  0.0000  0.4129 x3
Pt  0.0000  0.0000  0.5799 x3

- Volume: 158.2 Å³ per cell
- Energy relative to the elements: 0.025 eV/atom

=====

Density functional theory data (PBE) for an optimized crystal structure of Ni2OsPt.

Cell lengths 3.823, 3.823, 3.550 Å; angles 90.00, 90.00, 90.00 degrees
Space group P4/mmm (No. 123)
Symmetry-distinct sites (fractional):
Ni  0.000  0.500  0.000 x2
Os  0.000  0.000  0.500 x1
Pt  0.500  0.500  0.500 x1

- Volume: 51.9 Å³ per cell
- Energy relative to the elements: 0.161 eV/atom

=====

How do the records compare in total DFT energy (no corrections)? In the order shown, they have -8.413, -8.286, -8.301, -6.385, -7.184, -7.047 eV per atom.
How do the records compare in D(E_F)? In the order shown, they have 10.2, 10.1, 10.5, 41.5, 14.3, 5.9 states/eV/cell.